[1]
Crystalline NdIn4CuPd2 at its relaxed geometry. Source: Alexandria, functional PBE.

Unit cell a=4.5984 b=4.5984 c=27.7273 alpha=90.00 beta=90.00 gamma=120.00
Space group R-3m (No. 166, hexagonal axes)
Unique sites:
Nd: 0.0000 0.0000 0.0000 x3
In: 0.0000 0.0000 0.1314 x6
In: 0.0000 0.0000 0.3979 x6
Cu: 0.0000 0.0000 0.5000 x3
Pd: 0.0000 0.0000 0.2380 x6

---

[2]
Crystalline PmNdInCu at its relaxed geometry. Source: Alexandria, functional PBE.

Unit cell a=7.516 b=7.516 c=7.516 alpha=90.00 beta=90.00 gamma=90.00
Space group F-43m (No. 216)
Unique sites:
Pm: 0.000 0.000 0.000 x4
Nd: 0.000 0.000 0.500 x4
In: 0.250 0.250 0.750 x4
Cu: 0.250 0.250 0.250 x4

---

[3]
Crystalline PrNdInCu at its relaxed geometry. Source: Alexandria, functional PBE.

Unit cell a=7.567 b=7.567 c=7.567 alpha=90.00 beta=90.00 gamma=90.00
Space group F-43m (No. 216)
Unique sites:
Pr: 0.000 0.000 0.000 x4
Nd: 0.000 0.000 0.500 x4
In: 0.250 0.250 0.750 x4
Cu: 0.250 0.250 0.250 x4

---

[4]
Crystalline Nd2InCu2Pt5 at its relaxed geometry. Source: Alexandria, functional PBE.

Unit cell a=9.614 b=9.614 c=3.947 alpha=90.00 beta=90.00 gamma=90.00
Space group P4/mbm (No. 127)
Unique sites:
Nd: 0.177 0.323 0.000 x4
In: 0.000 0.000 0.000 x2
Cu: 0.120 0.620 0.000 x4
Pt: 0.000 0.500 0.500 x2
Pt: 0.067 0.789 0.500 x8

---

[5]
Crystalline NdInCuRh at its relaxed geometry. Source: Alexandria, functional PBE.

Unit cell a=6.824 b=6.824 c=6.824 alpha=90.00 beta=90.00 gamma=90.00
Space group F-43m (No. 216)
Unique sites:
Nd: 0.000 0.000 0.000 x4
In: 0.000 0.000 0.500 x4
Cu: 0.250 0.250 0.250 x4
Rh: 0.250 0.250 0.750 x4

---

[6]
Crystalline NdInCuRu at its relaxed geometry. Source: Alexandria, functional PBE.

Unit cell a=6.802 b=6.802 c=6.802 alpha=90.00 beta=90.00 gamma=90.00
Space group F-43m (No. 216)
Unique sites:
Nd: 0.000 0.000 0.000 x4
In: 0.000 0.000 0.500 x4
Cu: 0.250 0.250 0.750 x4
Ru: 0.250 0.250 0.250 x4

---

[7]
Crystalline NdScInCu at its relaxed geometry. Source: Alexandria, functional PBE.

Unit cell a=7.234 b=7.234 c=7.234 alpha=90.00 beta=90.00 gamma=90.00
Space group F-43m (No. 216)
Unique sites:
Nd: 0.000 0.000 0.000 x4
Sc: 0.000 0.000 0.500 x4
In: 0.250 0.250 0.750 x4
Cu: 0.250 0.250 0.250 x4

---

[8]
Crystalline Nd2InCu4Sn3 at its relaxed geometry. Source: Alexandria, functional PBE.

Unit cell a=4.420 b=4.420 c=10.863 alpha=90.00 beta=90.00 gamma=90.00
Space group P-4m2 (No. 115)
Unique sites:
Nd: 0.000 0.500 0.239 x2
In: 0.000 0.000 0.500 x1
Cu: 0.000 0.000 0.000 x1
Cu: 0.000 0.500 0.639 x2
Cu: 0.500 0.500 0.000 x1
Sn: 0.000 0.500 0.872 x2
Sn: 0.500 0.500 0.500 x1

---

[9]
Crystalline SrNdInCu at its relaxed geometry. Source: Alexandria, functional PBE.

Unit cell a=7.686 b=7.686 c=7.686 alpha=90.00 beta=90.00 gamma=90.00
Space group F-43m (No. 216)
Unique sites:
Sr: 0.000 0.000 0.000 x4
Nd: 0.000 0.000 0.500 x4
In: 0.250 0.250 0.750 x4
Cu: 0.250 0.250 0.250 x4

---

[10]
Crystalline NdTlInCu at its relaxed geometry. Source: Alexandria, functional PBE.

Unit cell a=7.274 b=7.274 c=7.274 alpha=90.00 beta=90.00 gamma=90.00
Space group F-43m (No. 216)
Unique sites:
Nd: 0.000 0.000 0.000 x4
Tl: 0.250 0.250 0.250 x4
In: 0.000 0.000 0.500 x4
Cu: 0.250 0.250 0.750 x4

---

[11]
Crystalline NdTmInCu at its relaxed geometry. Source: Alexandria, functional PBE.

Unit cell a=7.380 b=7.380 c=7.380 alpha=90.00 beta=90.00 gamma=90.00
Space group F-43m (No. 216)
Unique sites:
Nd: 0.000 0.000 0.000 x4
Tm: 0.000 0.000 0.500 x4
In: 0.250 0.250 0.250 x4
Cu: 0.250 0.250 0.750 x4

---

[12]
Crystalline NdYInCu at its relaxed geometry. Source: Alexandria, functional PBE.

Unit cell a=7.434 b=7.434 c=7.434 alpha=90.00 beta=90.00 gamma=90.00
Space group F-43m (No. 216)
Unique sites:
Nd: 0.000 0.000 0.000 x4
Y: 0.000 0.000 0.500 x4
In: 0.250 0.250 0.250 x4
Cu: 0.250 0.250 0.750 x4

---

Q: Which density values were calculated for the entries above? A: 8.63, 7.32, 7.11, 13.71, 8.89, 8.94, 6.45, 7.93, 6.00, 9.10, 8.12, 6.65, in g/cm3.
Q: Which calculated total energy values were calculated for the entries above? A: -4.16, -4.35, -4.35, -5.83, -5.11, -5.29, -4.74, -4.47, -3.51, -3.64, -4.30, -4.81, in eV per atom.